The following is a DFT calculation (PBE) of an optimized crystal structure of ThMg2In.

SG   R-3m, No. 166
Energy above the most stable polymorph in this dataset   0.328 eV/atom
D(E_F)   0.751 states/eV per atom
E_form   0.18 eV/atom

Cell and atoms, written as extended XYZ:
```
4
Lattice="3.3078 0.0000 0.0000 1.6539 2.8646 0.0000 1.6539 0.9549 11.5086" Properties=species:S:1:pos:R:3 pbc="T T T"
Mg 1.6539 0.9549 8.2242
Mg 4.9617 2.8646 3.2845
Th 0.0000 0.0000 0.0000
In 3.3078 1.9097 5.7543
```